# 1
# ScCuBr, optimized geometry, DFT PBE-GGA
# * formation energy from raw total energies: -0.819 eV/atom
# * total magnetic moment: 0.000 μB/cell
# * relative energy among the computed polymorphs: 0.004 eV/atom
# * DOS(E_F): 1.4 states/eV/f.u.
data_ScCuBr
_chemical_formula_sum 'Sc2 Cu2 Br2'
_space_group_name_H-M_alt 'P -1'
_space_group_IT_number 2
_space_group_name_Hall '-P 1'
_cell_length_a 3.931
_cell_length_b 4.106
_cell_length_c 10.318
_cell_angle_alpha 89.32
_cell_angle_beta 89.36
_cell_angle_gamma 61.41
loop_
_atom_site_label
_atom_site_type_symbol
_atom_site_fract_x
_atom_site_fract_y
_atom_site_fract_z
Sc1 Sc 0.026 0.457 0.345
Cu1 Cu 0.338 0.824 0.500
Br1 Br 0.359 0.801 0.182

# 2
# DyY3Zn2, optimized geometry, DFT PBE-GGA
# * total magnetic moment: 0.000 μB/cell
# * ΔE_f: -5.57 kcal/mol of atoms
# * relative energy among the computed polymorphs: 0.000 eV/atom
# * DOS(E_F): 3.5 states/eV/f.u.
data_DyY3Zn2
_chemical_formula_sum 'Dy2 Y6 Zn4'
_space_group_name_H-M_alt 'P m c 21'
_space_group_IT_number 26
_space_group_name_Hall 'P 2c -2'
_cell_length_a 5.037
_cell_length_b 9.111
_cell_length_c 6.787
_cell_angle_alpha 90.00
_cell_angle_beta 90.00
_cell_angle_gamma 90.00
loop_
_atom_site_label
_atom_site_type_symbol
_atom_site_fract_x
_atom_site_fract_y
_atom_site_fract_z
Dy1 Dy 0.000 0.058 0.000
Y1 Y 0.000 0.326 0.651
Y2 Y 0.500 0.173 0.318
Y3 Y 0.500 0.443 0.969
Zn1 Zn 0.000 0.351 0.211
Zn2 Zn 0.500 0.150 0.758

# 3
# TbPuHg2, optimized geometry, DFT PBE-GGA
# * total magnetic moment: 24.525 μB/cell
# * ΔE_f: -6.21 kcal/mol of atoms
# * relative energy among the computed polymorphs: 0.017 eV/atom
# * DOS(E_F): 11.1 states/eV/f.u.
data_TbPuHg2
_chemical_formula_sum 'Tb4 Pu4 Hg8'
_space_group_name_H-M_alt 'F m -3 m'
_space_group_IT_number 225
_space_group_name_Hall '-F 4 2 3'
_cell_length_a 7.506
_cell_length_b 7.506
_cell_length_c 7.506
_cell_angle_alpha 90.00
_cell_angle_beta 90.00
_cell_angle_gamma 90.00
loop_
_atom_site_label
_atom_site_type_symbol
_atom_site_fract_x
_atom_site_fract_y
_atom_site_fract_z
Tb1 Tb 0.000 0.000 0.000
Pu1 Pu 0.000 0.000 0.500
Hg1 Hg 0.250 0.250 0.250